1.
A PBEsol-optimized structure of MgZn2Sb2. Source: Alexandria, functional meta-GGA SCAN.

Unit cell a=4.3027 b=4.3027 c=7.1839 alpha=90.00 beta=90.00 gamma=120.00
With the nearest neighbours (Å) after each atom.
Sites, in units of the cell vectors:
1 Mg 0.0000 0.0000 0.0000  6 Sb 3.01
2 Zn 0.3333 0.6667 0.6168  4 Sb 2.70-2.74, 3 Zn 3.00
3 Zn 0.6667 0.3333 0.3832  4 Sb 2.70-2.74, 3 Zn 3.00
4 Sb 0.3333 0.6667 0.2354  4 Zn 2.70-2.74, 3 Mg 3.01
5 Sb 0.6667 0.3333 0.7646  4 Zn 2.70-2.74, 3 Mg 3.01

Computed properties:
The calculation puts the mass density at 5.75 g/cm³. The total moment is 0.000 μB/f.u. As for the space-group type: P-3m1. As for the total energy: -107.22 eV/f.u. The energy relative to the elements, uncorrected is -0.1380 eV/atom.

---

2.
A PBEsol-optimized structure of MgZnSb2. Source: Alexandria, functional meta-GGA SCAN.

Unit cell a=5.0161 b=5.0161 c=5.0161 alpha=60.00 beta=60.00 gamma=60.00
With the nearest neighbours (Å) after each atom.
Sites, in units of the cell vectors:
1 Mg 0.0000 0.0000 0.0000  8 Sb 3.07
2 Zn 0.5000 0.5000 0.5000  8 Sb 3.07
3 Sb 0.2500 0.2500 0.2500  4 Mg 3.07, 4 Zn 3.07
4 Sb 0.7500 0.7500 0.7500  4 Mg 3.07, 4 Zn 3.07

Computed properties:
The calculation puts the mass density at 6.20 g/cm³. The total moment is 0.000 μB/f.u. As for the space-group type: Fm-3m. As for the total energy: -92.53 eV/f.u. The energy relative to the elements, uncorrected is 0.1201 eV/atom.

---

3.
A PBEsol-optimized structure of Mg2ZrSb. Source: Alexandria, functional meta-GGA SCAN.

Unit cell a=4.9900 b=4.9900 c=4.9900 alpha=60.00 beta=60.00 gamma=60.00
With the nearest neighbours (Å) after each atom.
Sites, in units of the cell vectors:
1 Mg 0.0000 0.0000 0.0000  4 Zr 3.06, 4 Mg 3.06
2 Mg 0.2500 0.2500 0.2500  4 Sb 3.06, 4 Mg 3.06
3 Zr 0.7500 0.7500 0.7500  4 Sb 3.06, 4 Mg 3.06
4 Sb 0.5000 0.5000 0.5000  4 Zr 3.06, 4 Mg 3.06

Computed properties:
The calculation puts the mass density at 4.94 g/cm³. The total moment is 0.001 μB/f.u. As for the space-group type: F-43m. As for the total energy: -77.95 eV/f.u. The energy relative to the elements, uncorrected is -0.0113 eV/atom.

---

4.
A PBEsol-optimized structure of Mg2ZrSb. Source: Alexandria, functional meta-GGA SCAN.

Unit cell a=3.1611 b=3.1611 c=9.4830 alpha=90.00 beta=90.00 gamma=103.59
With the nearest neighbours (Å) after each atom.
Sites, in units of the cell vectors:
1 Mg 0.0000 0.0000 0.0000  4 Zr 3.09-3.45, 8 Mg 3.09-3.45
2 Mg 0.5000 0.5000 0.2520  8 Mg 3.09-3.45, 2 Sb 3.21
3 Zr 0.5000 0.5000 0.7481  2 Sb 2.92, 2 Mg 3.09, 4 Zr 3.16
4 Sb 0.0000 0.0000 0.5200  2 Zr 2.92, 4 Sb 3.16, 2 Mg 3.21

Computed properties:
The calculation puts the mass density at 4.72 g/cm³. The total moment is 0.000 μB/f.u. As for the space-group type: Cmm2. As for the total energy: -78.35 eV/f.u. The energy relative to the elements, uncorrected is -0.1117 eV/atom.

---

5.
A PBEsol-optimized structure of Mg2ZrSb. Source: Alexandria, functional meta-GGA SCAN.

Unit cell a=3.1554 b=3.1554 c=9.2644 alpha=90.00 beta=90.00 gamma=90.00
With the nearest neighbours (Å) after each atom.
Sites, in units of the cell vectors:
1 Mg 0.0000 0.0000 0.0000  8 Mg 3.16-3.18, 4 Zr 3.22
2 Mg 0.5000 0.5000 0.2443  8 Mg 3.16-3.18, 4 Sb 3.38
3 Zr 0.5000 0.5000 0.7488  4 Sb 3.08, 4 Zr 3.16, 4 Mg 3.22
4 Sb 0.0000 0.0000 0.5188  4 Zr 3.08, 4 Sb 3.16, 4 Mg 3.38

Computed properties:
The calculation puts the mass density at 4.71 g/cm³. The total moment is 0.319 μB/f.u. As for the space-group type: P4mm. As for the total energy: -78.26 eV/f.u. The energy relative to the elements, uncorrected is -0.0890 eV/atom.

---

6.
A PBEsol-optimized structure of Mg2ZrSb. Source: Alexandria, functional meta-GGA SCAN.

Unit cell a=5.5639 b=5.5639 c=5.5639 alpha=135.46 beta=135.46 gamma=64.82
With the nearest neighbours (Å) after each atom.
Sites, in units of the cell vectors:
1 Mg 0.0000 0.0000 0.0000  4 Sb 2.98, 4 Zr 3.16, 4 Mg 3.16
2 Mg 0.7500 0.2500 0.5000  4 Zr 2.98, 4 Sb 3.16, 4 Mg 3.16
3 Zr 0.2500 0.7500 0.5000  8 Mg 2.98-3.16, 4 Sb 3.16
4 Sb 0.5000 0.5000 0.0000  8 Mg 2.98-3.16, 4 Zr 3.16

Computed properties:
The calculation puts the mass density at 5.20 g/cm³. The total moment is 0.003 μB/f.u. As for the space-group type: I-4m2. As for the total energy: -79.26 eV/f.u. The energy relative to the elements, uncorrected is -0.3377 eV/atom.

---

7.
A PBEsol-optimized structure of MgZr2Sb2. Source: Alexandria, functional meta-GGA SCAN.

Unit cell a=7.7820 b=7.7820 c=3.7378 alpha=90.00 beta=90.00 gamma=90.00
With the nearest neighbours (Å) after each atom.
Sites, in units of the cell vectors:
1 Mg 0.0000 0.0000 0.0000  4 Sb 2.96
2 Mg 0.5000 0.5000 0.0000  4 Sb 2.96
3 Zr 0.1416 0.3584 0.5000  6 Sb 2.95, 1 Zr 3.12
4 Zr 0.3584 0.8584 0.5000  6 Sb 2.95, 1 Zr 3.12
5 Zr 0.6416 0.1416 0.5000  6 Sb 2.95, 1 Zr 3.12
6 Zr 0.8584 0.6416 0.5000  6 Sb 2.95, 1 Zr 3.12
7 Sb 0.1514 0.6514 0.0000  6 Zr 2.95, 2 Mg 2.96
8 Sb 0.3486 0.1514 0.0000  6 Zr 2.95, 2 Mg 2.96
9 Sb 0.6514 0.8486 0.0000  6 Zr 2.95, 2 Mg 2.96
10 Sb 0.8486 0.3486 0.0000  6 Zr 2.95, 2 Mg 2.96

Computed properties:
The calculation puts the mass density at 6.61 g/cm³. The total moment is 0.000 μB/f.u. As for the space-group type: P4/mbm. As for the total energy: -143.82 eV/f.u. The energy relative to the elements, uncorrected is -0.5856 eV/atom.

---

8.
A PBEsol-optimized structure of Mg2ZrSb. Source: Alexandria, functional meta-GGA SCAN.

Unit cell a=3.7790 b=3.7790 c=6.1791 alpha=90.00 beta=90.00 gamma=90.00
With the nearest neighbours (Å) after each atom.
Sites, in units of the cell vectors:
1 Mg 0.0000 0.0000 0.0000  2 Sb 2.94-3.24, 4 Mg 3.06, 4 Zr 3.15
2 Mg 0.5000 0.5000 0.2415  2 Zr 3.03-3.15, 4 Mg 3.06, 4 Sb 3.19
3 Zr 0.5000 0.5000 0.7316  4 Sb 2.96, 6 Mg 3.03-3.15
4 Sb 0.0000 0.0000 0.5247  6 Mg 2.94-3.24, 4 Zr 2.96

Computed properties:
The calculation puts the mass density at 4.92 g/cm³. The total moment is 0.003 μB/f.u. As for the space-group type: P4mm. As for the total energy: -79.14 eV/f.u. The energy relative to the elements, uncorrected is -0.3072 eV/atom.